# 1
A plane-wave DFT calculation with PBE was carried out for a relaxed structure of Cs2SiPtBr6.

Summary:
formation energy (no corrections)	-0.849	eV per atom
SG	I4/mmm

a = 7.598 Å, b = 7.598 Å, c = 7.590 Å
α = 59.96°, β = 59.96°, γ = 90.00°
Fractional positions:
Br1 0.748 0.252 0.000
Br2 0.753 0.753 0.495
Br3 0.252 0.252 0.000
Br4 0.748 0.748 0.000
Br5 0.252 0.748 0.000
Br6 0.247 0.247 0.505
Pt1 0.000 0.000 0.000
Cs1 0.750 0.250 0.500
Cs2 0.250 0.750 0.500
Si1 0.500 0.500 0.000

---

# 2
A plane-wave DFT calculation with PBE was carried out for a relaxed structure of Cs2SrPtBr6.

Summary:
formation energy (no corrections)	-1.300	eV per atom
SG	Fm-3m

a = 8.060 Å, b = 8.060 Å, c = 8.062 Å
α = 60.01°, β = 60.01°, γ = 90.00°
Each line ends with the local moment (μB).
Fractional positions:
Pt1 0.000 0.000 0.000  1.16
Cs1 0.250 0.750 0.500  0.00
Cs2 0.750 0.250 0.500  0.00
Br1 0.765 0.765 0.000  0.09
Br2 0.235 0.765 0.000  0.09
Br3 0.235 0.235 0.000  0.09
Br4 0.765 0.235 0.000  0.09
Br5 0.765 0.765 0.471  0.09
Br6 0.235 0.235 0.529  0.09
Sr1 0.500 0.500 0.000  0.05

---

# 3
A plane-wave DFT calculation with PBE was carried out for a relaxed structure of Cs2TaPtBr6.

Summary:
formation energy (no corrections)	-0.860	eV per atom
SG	I4/mmm

a = 8.516 Å, b = 8.516 Å, c = 7.802 Å
α = 56.92°, β = 56.92°, γ = 90.00°
Each line ends with the local moment (μB).
Fractional positions:
Cs1 0.750 0.250 0.500  0.00
Cs2 0.250 0.750 0.500  0.00
Pt1 0.000 0.000 0.000  -0.09
Br1 0.283 0.717 0.000  0.00
Br2 0.283 0.283 0.000  0.00
Br3 0.241 0.241 0.518  -0.01
Br4 0.759 0.759 0.482  -0.01
Br5 0.717 0.717 0.000  0.00
Br6 0.717 0.283 0.000  0.00
Ta1 0.500 0.500 0.000  0.79

---

# 4
A plane-wave DFT calculation with PBE was carried out for a relaxed structure of Cs2TcPtBr6.

Summary:
formation energy (no corrections)	-0.743	eV per atom
SG	I4/mmm

a = 7.470 Å, b = 7.470 Å, c = 7.900 Å
α = 61.79°, β = 61.79°, γ = 90.00°
Each line ends with the local moment (μB).
Fractional positions:
Br1 0.282 0.282 0.435  0.04
Br2 0.718 0.718 0.565  0.04
Br3 0.756 0.756 0.000  0.03
Br4 0.244 0.244 0.000  0.03
Br5 0.244 0.756 0.000  0.04
Br6 0.756 0.244 0.000  0.04
Cs1 0.750 0.250 0.500  0.00
Cs2 0.250 0.750 0.500  0.00
Pt1 0.000 0.000 0.000  -0.02
Tc1 0.500 0.500 0.000  2.80

---

# 5
A plane-wave DFT calculation with PBE was carried out for a relaxed structure of Cs2TePtBr6.

Summary:
formation energy (no corrections)	-0.855	eV per atom
SG	I4/mmm

a = 7.908 Å, b = 7.908 Å, c = 7.885 Å
α = 59.90°, β = 59.90°, γ = 90.00°
Fractional positions:
Cs1 0.750 0.250 0.500
Cs2 0.250 0.750 0.500
Br1 0.236 0.236 0.528
Br2 0.234 0.234 0.000
Br3 0.766 0.234 0.000
Br4 0.764 0.764 0.472
Br5 0.766 0.766 0.000
Br6 0.234 0.766 0.000
Pt1 0.000 0.000 0.000
Te1 0.500 0.500 0.000

---

# 6
A plane-wave DFT calculation with PBE was carried out for a relaxed structure of CsTePt2Br.

Summary:
formation energy (no corrections)	0.652	eV per atom
SG	P4/mmm

a = 5.000 Å, b = 5.000 Å, c = 6.150 Å
α = 90.00°, β = 90.00°, γ = 90.00°
Fractional positions:
Br1 0.000 0.000 0.000
Pt1 0.500 0.000 0.000
Pt2 0.000 0.500 0.000
Cs1 0.500 0.500 0.500
Te1 0.000 0.000 0.500

---

# 7
A plane-wave DFT calculation with PBE was carried out for a relaxed structure of CsTl2PtBr6.

Summary:
formation energy (no corrections)	-0.757	eV per atom
SG	R-3m

a = 7.492 Å, b = 7.492 Å, c = 18.148 Å
α = 78.09°, β = 78.09°, γ = 60.00°
Fractional positions:
Tl1 0.683 0.683 0.950
Tl2 0.317 0.317 0.050
Tl3 0.851 0.851 0.448
Tl4 0.149 0.149 0.552
Br1 0.809 0.297 0.084
Br2 0.191 0.191 0.916
Br3 0.703 0.191 0.916
Br4 0.809 0.809 0.084
Br5 0.297 0.809 0.084
Br6 0.191 0.703 0.916
Br7 0.856 0.364 0.416
Br8 0.636 0.636 0.584
Br9 0.144 0.636 0.584
Br10 0.636 0.144 0.584
Br11 0.364 0.364 0.416
Br12 0.364 0.856 0.416
Pt1 0.500 0.500 0.500
Pt2 0.000 0.000 0.000
Cs1 0.417 0.417 0.749
Cs2 0.583 0.583 0.251

---

# 8
A plane-wave DFT calculation with PBE was carried out for a relaxed structure of Cs2TlPtBr.

Summary:
formation energy (no corrections)	-0.635	eV per atom
SG	P4/mmm

a = 6.680 Å, b = 6.680 Å, c = 5.261 Å
α = 90.00°, β = 90.00°, γ = 90.00°
Fractional positions:
Br1 0.500 0.500 0.500
Cs1 0.000 0.500 0.000
Cs2 0.500 0.000 0.000
Pt1 0.000 0.000 0.000
Tl1 0.000 0.000 0.500

---

# 9
A plane-wave DFT calculation with PBE was carried out for a relaxed structure of Cs2VPtBr6.

Summary:
formation energy (no corrections)	-0.930	eV per atom
SG	I4/mmm

a = 7.392 Å, b = 7.392 Å, c = 8.049 Å
α = 62.67°, β = 62.67°, γ = 90.00°
Each line ends with the local moment (μB).
Fractional positions:
Cs1 0.250 0.750 0.500  0.00
Cs2 0.750 0.250 0.500  0.00
Br1 0.758 0.242 0.000  0.01
Br2 0.706 0.706 0.588  -0.02
Br3 0.242 0.758 0.000  0.01
Br4 0.242 0.242 0.000  0.01
Br5 0.758 0.758 0.000  0.01
Br6 0.294 0.294 0.412  -0.02
V1 0.500 0.500 0.000  2.35
Pt1 0.000 0.000 0.000  0.29

---

# 10
A plane-wave DFT calculation with PBE was carried out for a relaxed structure of Cs3PuBr7.

Summary:
formation energy (no corrections)	-1.589	eV per atom
SG	Cm

a = 7.451 Å, b = 7.451 Å, c = 9.643 Å
α = 77.53°, β = 77.53°, γ = 91.94°
Each line ends with the local moment (μB).
Fractional positions:
Pu1 0.020 0.020 0.983  -4.51
Br1 0.031 0.661 0.129  0.08
Br2 0.019 0.378 0.830  0.07
Br3 0.899 0.899 0.762  0.06
Br4 0.378 0.019 0.830  0.07
Br5 0.141 0.141 0.207  0.06
Br6 0.661 0.031 0.129  0.08
Br7 0.619 0.619 0.527  0.01
Cs1 0.693 0.156 0.469  0.00
Cs2 0.507 0.507 0.915  0.00
Cs3 0.156 0.693 0.469  0.00

---

# 11
A plane-wave DFT calculation with PBE was carried out for a relaxed structure of Cs3PuBr8.

Summary:
formation energy (no corrections)	-1.433	eV per atom
SG	P6_3mc

a = 9.884 Å, b = 10.956 Å, c = 10.956 Å
α = 120.00°, β = 90.00°, γ = 90.00°
Each line ends with the local moment (μB).
Fractional positions:
Br1 0.998 0.098 0.549  0.13
Br2 0.810 0.785 0.215  0.11
Br3 0.998 0.451 0.549  0.13
Br4 0.310 0.570 0.785  0.11
Br5 0.498 0.549 0.098  0.13
Br6 0.310 0.215 0.430  0.11
Br7 0.810 0.785 0.570  0.11
Br8 0.452 0.000 0.000  0.07
Br9 0.498 0.549 0.451  0.13
Br10 0.153 0.667 0.333  0.25
Br11 0.310 0.215 0.785  0.11
Br12 0.810 0.430 0.215  0.11
Br13 0.653 0.333 0.667  0.25
Br14 0.998 0.451 0.902  0.13
Br15 0.952 0.000 0.000  0.07
Br16 0.498 0.902 0.451  0.13
Cs1 0.197 0.851 0.702  0.00
Cs2 0.197 0.851 0.149  0.00
Cs3 0.697 0.702 0.851  0.00
Cs4 0.697 0.149 0.851  0.00
Cs5 0.697 0.149 0.298  0.00
Cs6 0.197 0.298 0.149  0.00
Pu1 0.653 0.667 0.333  -4.16
Pu2 0.153 0.333 0.667  -4.16

---

# 12
A plane-wave DFT calculation with PBE was carried out for a relaxed structure of Cs2PuBr7.

Summary:
formation energy (no corrections)	-1.312	eV per atom
SG	Fm-3m

a = 8.598 Å, b = 8.598 Å, c = 8.598 Å
α = 60.00°, β = 60.00°, γ = 60.00°
Each line ends with the local moment (μB).
Fractional positions:
Br1 0.225 0.225 0.775  -0.11
Br2 0.775 0.225 0.225  -0.11
Br3 0.775 0.775 0.225  -0.11
Br4 0.225 0.775 0.225  -0.11
Br5 0.225 0.775 0.775  -0.11
Br6 0.775 0.225 0.775  -0.11
Br7 0.500 0.500 0.500  -0.47
Cs1 0.750 0.750 0.750  0.00
Cs2 0.250 0.250 0.250  0.00
Pu1 0.000 0.000 0.000  4.31